Compound: Dy6As5Cl
Source: Alexandria via LeMat-Bulk
Functional: PBE-GGA
Structure: relaxed

## Properties
Space-group type   C2/m (12)
Raw formation energy   -1810 kJ/mol of formula units
Uncorrected energy   -71.5 eV for the cell shown

Cell lengths 7.0996, 7.1237, 7.1125 Å; angles 59.95, 80.40, 70.55 degrees
With the nearest neighbours (Å) after each atom.
Fractional coordinates of all 12 atoms:
Dy (0.7422, 0.4339, 0.6523)  5 As 2.83-2.92, 1 Cl 3.02
As (0.5000, 0.5000, 0.0000)  6 Dy 2.79-2.92
As (0.5000, 0.1622, 0.6756)  6 Dy 2.83-2.92
As (0.0000, 0.6673, 0.6653)  6 Dy 2.89-2.90
Dy (0.7429, 0.7381, 0.0000)  5 As 2.79-2.90, 1 Cl 3.01
As (0.0000, 0.3327, 0.3347)  6 Dy 2.89-2.90
Dy (0.2571, 0.2619, 0.0000)  5 As 2.79-2.90, 1 Cl 3.01
Cl (0.0000, 0.0000, 0.0000)  6 Dy 3.01-3.02
Dy (0.2578, 0.5661, 0.3477)  5 As 2.83-2.92, 1 Cl 3.02
As (0.5000, 0.8378, 0.3244)  6 Dy 2.83-2.92
Dy (0.7422, 0.0861, 0.3477)  5 As 2.83-2.92, 1 Cl 3.02
Dy (0.2578, 0.9139, 0.6523)  5 As 2.83-2.92, 1 Cl 3.02